[1]
DFT (GGA-PBEsol) results for Fe3Re5 after structural relaxation.

a b c (Å): 3.7326 5.2725 5.2725
angles (deg): 90.92 90.00 90.00
Last column: nearest neighbours and their distance in Å.
Positions (direct):
Fe1 0.0000 0.5000 0.5000  8 Re 2.55-2.64, 4 Fe 2.62
Fe2 0.5000 0.7449 0.2551  10 Re 2.53-2.74, 2 Fe 2.62
Fe3 0.5000 0.2551 0.7449  10 Re 2.53-2.74, 2 Fe 2.62
Re1 0.0000 0.0000 0.0000  8 Re 2.64-2.70, 4 Fe 2.68
Re2 0.0000 0.5000 0.0000  6 Fe 2.63-2.64, 6 Re 2.64-2.65
Re3 0.0000 0.0000 0.5000  6 Fe 2.63-2.64, 6 Re 2.64-2.65
Re4 0.5000 0.7353 0.7353  6 Fe 2.53-2.74, 6 Re 2.65-2.70
Re5 0.5000 0.2647 0.2647  6 Fe 2.53-2.74, 6 Re 2.65-2.70

raw total energy = -0.4276 Ha/atom
formation energy from the elements = 0.47 eV per formula unit

[2]
DFT (GGA-PBEsol) results for Fe4Re3 after structural relaxation.

a b c (Å): 2.8748 2.8748 10.7178
angles (deg): 97.71 97.71 90.00
Last column: nearest neighbours and their distance in Å.
Positions (direct):
Re1 0.0000 0.0000 0.0000  10 Fe 2.54-2.82
Re2 0.7079 0.7079 0.4158  5 Fe 2.56-2.84, 4 Re 2.70
Re3 0.2921 0.2921 0.5842  5 Fe 2.56-2.84, 4 Re 2.70
Fe1 0.8659 0.8659 0.7318  4 Fe 2.41, 4 Re 2.56
Fe2 0.5727 0.5727 0.1455  4 Fe 2.41, 4 Re 2.54
Fe3 0.4273 0.4273 0.8545  4 Fe 2.41, 4 Re 2.54
Fe4 0.1341 0.1341 0.2682  4 Fe 2.41, 4 Re 2.56

raw total energy = -0.3949 Ha/atom
formation energy from the elements = 0.62 eV per formula unit

[3]
DFT (GGA-PBEsol) results for Fe2ReRh after structural relaxation.

a b c (Å): 2.7486 2.7486 6.6253
angles (deg): 90.00 90.00 90.00
Last column: nearest neighbours and their distance in Å.
Positions (direct):
Re1 0.0000 0.0000 0.4786  4 Fe 2.53, 4 Rh 2.72, 4 Re 2.75
Rh1 0.5000 0.5000 0.7663  4 Fe 2.58, 4 Re 2.72, 4 Rh 2.75
Fe1 0.0000 0.0000 0.0214  4 Fe 2.40, 4 Rh 2.58
Fe2 0.5000 0.5000 0.2337  4 Fe 2.40, 4 Re 2.53

raw total energy = -0.3610 Ha/atom
formation energy from the elements = 0.11 eV per formula unit

[4]
DFT (GGA-PBEsol) results for Fe2ReRh after structural relaxation.

a b c (Å): 2.8556 4.1967 4.8904
angles (deg): 115.41 106.98 90.00
Last column: nearest neighbours and their distance in Å.
Positions (direct):
Fe1 0.0155 0.0155 0.0310  2 Fe 2.35, 4 Re 2.55, 2 Rh 2.58
Fe2 0.7385 0.2385 0.4771  2 Fe 2.35, 2 Re 2.52, 4 Rh 2.54
Re1 0.4868 0.4868 0.9736  6 Fe 2.52-2.55, 2 Rh 2.69
Rh1 0.2592 0.7592 0.5183  6 Fe 2.54-2.58, 4 Re 2.69-2.83

raw total energy = -0.3584 Ha/atom
formation energy from the elements = 0.39 eV per formula unit

[5]
DFT (GGA-PBEsol) results for Fe2ReSb after structural relaxation.

a b c (Å): 3.8792 3.8792 4.4728
angles (deg): 115.70 115.70 90.00
Last column: nearest neighbours and their distance in Å.
Positions (direct):
Fe1 0.7500 0.2500 0.5000  4 Re 2.62, 4 Sb 2.62, 4 Fe 2.74
Fe2 0.2500 0.7500 0.5000  4 Sb 2.62, 4 Re 2.62, 4 Fe 2.74
Re1 0.5000 0.5000 0.0000  8 Fe 2.62, 4 Sb 2.74
Sb1 0.0000 0.0000 0.0000  8 Fe 2.62, 4 Re 2.74

ΔE_f (raw) = 1.4 eV/f.u.
raw total energy = -0.3161 Ha/atom

[6]
DFT (GGA-PBEsol) results for Fe3ReSb after structural relaxation.

a b c (Å): 4.4635 4.4635 4.4635
angles (deg): 90.00 90.00 90.00
Last column: nearest neighbours and their distance in Å.
Positions (direct):
Re1 0.5000 0.5000 0.5000  12 Fe 3.16
Fe1 0.0000 0.5000 0.0000  2 Sb 2.23
Fe2 0.0000 0.0000 0.5000  2 Sb 2.23
Fe3 0.5000 0.0000 0.0000  2 Sb 2.23
Sb1 0.0000 0.0000 0.0000  6 Fe 2.23

ΔE_f (raw) = 10.5 eV/f.u.
raw total energy = -0.2517 Ha/atom

[7]
DFT (GGA-PBEsol) results for FeRe2Sb after structural relaxation.

a b c (Å): 3.8352 3.8352 4.0751
angles (deg): 90.00 90.00 90.00
Last column: nearest neighbours and their distance in Å.
Positions (direct):
Fe1 0.0000 0.0000 0.5000  4 Sb 2.71, 8 Re 2.80
Re1 0.0000 0.5000 0.0000  4 Re 2.71, 4 Fe 2.80, 4 Sb 2.80
Re2 0.5000 0.0000 0.0000  4 Re 2.71, 4 Sb 2.80, 4 Fe 2.80
Sb1 0.5000 0.5000 0.5000  4 Fe 2.71, 8 Re 2.80

ΔE_f (raw) = 2.4 eV/f.u.
raw total energy = -0.3467 Ha/atom

[8]
DFT (GGA-PBEsol) results for FeRe2Sb after structural relaxation.

a b c (Å): 3.0298 3.0298 6.5571
angles (deg): 90.00 90.00 90.00
Last column: nearest neighbours and their distance in Å.
Positions (direct):
Fe1 0.5000 0.5000 0.7614  4 Re 2.62, 4 Sb 2.66
Re1 0.0000 0.0000 0.9902  4 Fe 2.62, 4 Re 2.65
Re2 0.5000 0.5000 0.2275  4 Re 2.65, 4 Sb 2.88
Sb1 0.0000 0.0000 0.5209  4 Fe 2.66, 4 Re 2.88

ΔE_f (raw) = 1.4 eV/f.u.
raw total energy = -0.3564 Ha/atom

[9]
DFT (GGA-PBEsol) results for FeRe2Sb after structural relaxation.

a b c (Å): 2.9289 3.8433 5.4012
angles (deg): 90.00 90.00 90.00
Last column: nearest neighbours and their distance in Å.
Positions (direct):
Fe1 0.5000 0.5000 0.2439  5 Re 2.50-2.77, 4 Sb 2.74
Re1 0.0000 0.0000 0.9920  2 Sb 2.66-2.75, 6 Re 2.67-2.93, 4 Fe 2.77
Re2 0.5000 0.5000 0.7805  1 Fe 2.50, 4 Re 2.67
Sb1 0.0000 0.0000 0.4836  6 Re 2.66-2.90, 4 Fe 2.74, 2 Sb 2.93

ΔE_f (raw) = 1.6 eV/f.u.
raw total energy = -0.3543 Ha/atom

[10]
DFT (GGA-PBEsol) results for FeRe2Sb after structural relaxation.

a b c (Å): 3.1220 4.3608 5.0876
angles (deg): 115.38 107.87 90.00
Last column: nearest neighbours and their distance in Å.
Positions (direct):
Fe1 0.2419 0.7419 0.4838  2 Sb 2.53, 6 Re 2.67-2.68
Re1 0.9918 0.9918 0.9836  2 Fe 2.67, 4 Sb 2.69, 2 Re 2.76
Re2 0.7553 0.2553 0.5106  4 Fe 2.68, 2 Sb 2.71, 4 Re 2.76-2.99
Sb1 0.5110 0.5110 0.0219  2 Fe 2.53, 6 Re 2.69-2.71

ΔE_f (raw) = 1.8 eV/f.u.
raw total energy = -0.3524 Ha/atom

[11]
DFT (GGA-PBEsol) results for Fe2ReSb after structural relaxation.

a b c (Å): 4.3031 4.3031 4.3031
angles (deg): 60.00 60.00 60.00
Last column: nearest neighbours and their distance in Å.
Positions (direct):
Fe1 0.0000 0.0000 0.0000  4 Fe 2.64, 4 Sb 2.64
Fe2 0.7500 0.7500 0.7500  4 Fe 2.64, 4 Re 2.64
Re1 0.5000 0.5000 0.5000  4 Fe 2.64, 4 Sb 2.64
Sb1 0.2500 0.2500 0.2500  4 Re 2.64, 4 Fe 2.64

ΔE_f (raw) = 1.4 eV/f.u.
raw total energy = -0.3164 Ha/atom

[12]
DFT (GGA-PBEsol) results for FeReSb2 after structural relaxation.

a b c (Å): 3.1696 3.9801 5.4706
angles (deg): 90.00 90.00 90.00
Last column: nearest neighbours and their distance in Å.
Positions (direct):
Fe1 0.0000 0.0000 0.4620  6 Sb 2.67-2.81
Re1 0.5000 0.5000 0.7839  6 Sb 2.62-2.85
Sb1 0.0000 0.0000 0.9492  2 Fe 2.67-2.81, 4 Re 2.70
Sb2 0.5000 0.5000 0.3049  2 Re 2.62-2.85, 4 Fe 2.69

ΔE_f (raw) = 1.9 eV/f.u.
raw total energy = -0.2715 Ha/atom